Run i
Compound: Pm4Sm3Tl
Source: Alexandria
Functional: PBE-GGA
Structure: optimized geometry

Calculated values
total magnetization = 0.00 μB/atom

Cell: 4.2347 4.2347 14.5350 Å, 90.00 90.00 90.00°
Last column: nearest neighbours and their distance in Å.
Atoms (fractional coordinates):
Pm 0.0000 0.0000 0.1122  1 Pm 3.26, 4 Tl 3.41, 4 Sm 3.58
Pm 0.0000 0.0000 0.3709  8 Sm 3.49-3.53, 2 Pm 3.75-3.76
Pm 0.0000 0.0000 0.6291  8 Sm 3.49-3.53, 2 Pm 3.75-3.76
Pm 0.0000 0.0000 0.8878  1 Pm 3.26, 4 Tl 3.41, 4 Sm 3.58
Sm 0.5000 0.5000 0.2473  8 Pm 3.49-3.58, 1 Tl 3.59, 1 Sm 3.67
Sm 0.5000 0.5000 0.5000  8 Pm 3.53, 2 Sm 3.67
Sm 0.5000 0.5000 0.7527  8 Pm 3.49-3.58, 1 Tl 3.59, 1 Sm 3.67
Tl 0.5000 0.5000 0.0000  8 Pm 3.41, 2 Sm 3.59


Run ii
Compound: Pm4Sm3Tl
Source: Alexandria
Functional: PBE-GGA
Structure: optimized geometry

Calculated values
total magnetization = 0.00 μB/atom

Cell: 11.4332 7.2298 6.2868 Å, 90.00 90.00 90.00°
Last column: nearest neighbours and their distance in Å.
Atoms (fractional coordinates):
Pm 0.0000 0.1274 0.0000  5 Pm 3.41-3.67, 4 Sm 3.44-3.77, 2 Tl 3.53-3.70
Pm 0.0000 0.8690 0.5461  5 Pm 3.41-3.72, 2 Tl 3.50-3.78, 4 Sm 3.59-3.64
Pm 0.2308 0.8681 0.1831  1 Tl 3.37, 6 Pm 3.44-3.72, 5 Sm 3.50-3.73
Pm 0.2692 0.1319 0.6831  1 Tl 3.37, 6 Pm 3.44-3.72, 5 Sm 3.50-3.73
Pm 0.5000 0.1310 0.0461  5 Pm 3.41-3.72, 2 Tl 3.50-3.78, 4 Sm 3.59-3.64
Pm 0.5000 0.8726 0.5000  5 Pm 3.41-3.67, 4 Sm 3.44-3.77, 2 Tl 3.53-3.70
Pm 0.7308 0.1319 0.6831  1 Tl 3.37, 6 Pm 3.44-3.72, 5 Sm 3.50-3.73
Pm 0.7692 0.8681 0.1831  1 Tl 3.37, 6 Pm 3.44-3.72, 5 Sm 3.50-3.73
Sm 0.0000 0.3718 0.5302  6 Pm 3.44-3.77, 4 Sm 3.48-3.59, 2 Tl 3.55-3.66
Sm 0.2432 0.3839 0.1983  2 Tl 3.43-3.57, 4 Sm 3.48-3.59, 6 Pm 3.50-3.73
Sm 0.2568 0.6161 0.6983  2 Tl 3.43-3.57, 4 Sm 3.48-3.59, 6 Pm 3.50-3.73
Sm 0.5000 0.6282 0.0302  6 Pm 3.44-3.77, 4 Sm 3.48-3.59, 2 Tl 3.55-3.66
Sm 0.7432 0.6161 0.6983  2 Tl 3.43-3.57, 4 Sm 3.48-3.59, 6 Pm 3.50-3.73
Sm 0.7568 0.3839 0.1983  2 Tl 3.43-3.57, 4 Sm 3.48-3.59, 6 Pm 3.50-3.73
Tl 0.0000 0.6155 0.0204  5 Pm 3.37-3.70, 6 Sm 3.43-3.66
Tl 0.5000 0.3845 0.5204  5 Pm 3.37-3.70, 6 Sm 3.43-3.66


Stability summary - winner: run ii; margin: 67 meV/atom.


Run i
Compound: Pm3Sm2Tl4
Source: Alexandria
Functional: PBE-GGA
Structure: optimized geometry

Calculated values
total magnetization = 0.00 μB/atom

Cell: 5.3992 5.3992 10.6609 Å, 90.24 90.24 60.21°
Last column: nearest neighbours and their distance in Å.
Atoms (fractional coordinates):
Pm 0.0000 0.0000 0.0000  6 Tl 3.30-3.31
Pm 0.3333 0.3333 0.5775  4 Tl 3.22-3.42, 3 Pm 3.53
Pm 0.6667 0.6667 0.4225  4 Tl 3.22-3.42, 3 Pm 3.53
Sm 0.3328 0.3328 0.2206  7 Tl 3.37-3.43
Sm 0.6672 0.6672 0.7794  7 Tl 3.37-3.43
Tl 0.0001 0.0001 0.3470  3 Pm 3.22, 1 Tl 3.26, 3 Sm 3.39-3.40
Tl 0.9999 0.9999 0.6530  3 Pm 3.22, 1 Tl 3.26, 3 Sm 3.39-3.40
Tl 0.3338 0.3338 0.8985  4 Pm 3.30-3.42, 4 Sm 3.37-3.43
Tl 0.6662 0.6662 0.1015  4 Pm 3.30-3.42, 4 Sm 3.37-3.43


Run ii
Compound: Pm3Sm2Tl4
Source: Alexandria
Functional: PBE-GGA
Structure: optimized geometry

Calculated values
total magnetization = 0.00 μB/atom

Cell: 8.8296 8.8296 9.6707 Å, 90.00 90.00 130.58°
Last column: nearest neighbours and their distance in Å.
Atoms (fractional coordinates):
Pm 0.0000 0.0000 0.0000  6 Tl 3.05-3.11
Pm 0.0331 0.4669 0.2500  5 Tl 3.17-3.29
Pm 0.4669 0.0331 0.7500  5 Tl 3.17-3.29
Pm 0.5000 0.5000 0.5000  6 Tl 3.05-3.11
Pm 0.5331 0.9669 0.2500  5 Tl 3.17-3.29
Pm 0.9669 0.5331 0.7500  5 Tl 3.17-3.29
Sm 0.1068 0.8932 0.4373  3 Tl 3.27-3.33, 1 Sm 3.64
Sm 0.3932 0.6068 0.9373  3 Tl 3.27-3.33, 1 Sm 3.64
Sm 0.6068 0.3932 0.0627  3 Tl 3.27-3.33, 1 Sm 3.64
Sm 0.8932 0.1068 0.5627  3 Tl 3.27-3.33, 1 Sm 3.64
Tl 0.1929 0.8071 0.0290  5 Pm 3.11-3.29, 1 Sm 3.33
Tl 0.2323 0.2677 0.2500  3 Pm 3.05-3.20, 2 Sm 3.27
Tl 0.2677 0.2323 0.7500  3 Pm 3.05-3.20, 2 Sm 3.27
Tl 0.3071 0.6929 0.5290  5 Pm 3.11-3.29, 1 Sm 3.33
Tl 0.6929 0.3071 0.4710  5 Pm 3.11-3.29, 1 Sm 3.33
Tl 0.7323 0.7677 0.2500  3 Pm 3.05-3.20, 2 Sm 3.27
Tl 0.7677 0.7323 0.7500  3 Pm 3.05-3.20, 2 Sm 3.27
Tl 0.8071 0.1929 0.9710  5 Pm 3.11-3.29, 1 Sm 3.33


Stability summary - winner: run i; margin: 98 meV/atom.


Run i
Compound: Pm5Sm4Tl
Source: Alexandria
Functional: PBE-GGA
Structure: optimized geometry

Calculated values
total magnetization = 0.00 μB/atom

Cell: 8.1652 8.1652 8.1652 Å, 97.84 97.84 136.65°
Last column: nearest neighbours and their distance in Å.
Atoms (fractional coordinates):
Pm 0.0000 0.0000 0.0000  2 Tl 2.89-3.15
Pm 0.5256 0.5256 0.6262  1 Tl 3.17, 1 Pm 3.32, 2 Sm 3.36
Pm 0.5256 0.8994 0.0000  1 Tl 3.17, 1 Pm 3.32, 2 Sm 3.36
Pm 0.8994 0.5256 0.0000  1 Tl 3.17, 1 Pm 3.32, 2 Sm 3.36
Pm 0.8994 0.8994 0.3738  1 Tl 3.17, 1 Pm 3.32, 2 Sm 3.36
Sm 0.2000 0.5147 0.3147  3 Pm 3.36-3.59
Sm 0.2000 0.8853 0.6853  3 Pm 3.36-3.59
Sm 0.5147 0.2000 0.3147  3 Pm 3.36-3.59
Sm 0.8853 0.2000 0.6853  3 Pm 3.36-3.59
Tl 0.4785 0.4785 0.0000  6 Pm 2.89-3.17


Run ii
Compound: Pm5Sm4Tl
Source: Alexandria
Functional: PBE-GGA
Structure: optimized geometry

Calculated values
total magnetization = 0.00 μB/atom

Cell: 4.2438 4.2438 18.2772 Å, 90.00 90.00 90.00°
Last column: nearest neighbours and their distance in Å.
Atoms (fractional coordinates):
Pm 0.0000 0.0000 0.0000  8 Sm 3.53, 2 Pm 3.75
Pm 0.0000 0.0000 0.2049  8 Sm 3.50-3.55, 2 Pm 3.75-3.76
Pm 0.0000 0.0000 0.4109  1 Pm 3.26, 4 Tl 3.41, 4 Sm 3.59
Pm 0.0000 0.0000 0.5891  1 Pm 3.26, 4 Tl 3.41, 4 Sm 3.59
Pm 0.0000 0.0000 0.7951  8 Sm 3.50-3.55, 2 Pm 3.75-3.76
Sm 0.5000 0.5000 0.1012  8 Pm 3.53-3.55, 2 Sm 3.70
Sm 0.5000 0.5000 0.3034  8 Pm 3.50-3.59, 1 Tl 3.59, 1 Sm 3.70
Sm 0.5000 0.5000 0.6966  8 Pm 3.50-3.59, 1 Tl 3.59, 1 Sm 3.70
Sm 0.5000 0.5000 0.8988  8 Pm 3.53-3.55, 2 Sm 3.70
Tl 0.5000 0.5000 0.5000  8 Pm 3.41, 2 Sm 3.59


Stability summary - winner: run ii; margin: 100 meV/atom.


Run i
Compound: PmSmTlZn
Source: Alexandria
Functional: PBE-GGA
Structure: optimized geometry

Calculated values
total magnetization = 0.00 μB/atom

Cell: 5.3483 5.3483 5.3483 Å, 60.00 60.00 60.00°
Last column: nearest neighbours and their distance in Å.
Atoms (fractional coordinates):
Pm 0.0000 0.0000 0.0000  4 Tl 3.28, 4 Zn 3.28
Sm 0.5000 0.5000 0.5000  4 Zn 3.28, 4 Tl 3.28
Tl 0.2500 0.2500 0.2500  4 Sm 3.28, 4 Pm 3.28
Zn 0.7500 0.7500 0.7500  4 Sm 3.28, 4 Pm 3.28


Run ii
Compound: PmSmTlZn
Source: Alexandria
Functional: PBE-GGA
Structure: optimized geometry

Calculated values
total magnetization = 0.00 μB/atom

Cell: 3.7400 3.7400 7.6455 Å, 90.00 90.00 90.00°
Last column: nearest neighbours and their distance in Å.
Atoms (fractional coordinates):
Pm 0.0000 0.0000 0.0000  4 Zn 3.18, 4 Tl 3.38, 1 Sm 3.48
Sm 0.0000 0.0000 0.5452  4 Zn 3.15, 4 Tl 3.36, 1 Pm 3.48
Tl 0.5000 0.5000 0.2745  4 Sm 3.36, 4 Pm 3.38, 4 Tl 3.74
Zn 0.5000 0.5000 0.7701  4 Sm 3.15, 4 Pm 3.18


Stability summary - winner: run ii; margin: 22 meV/atom.


Run i
Compound: Pm2Sm3Tm3
Source: Alexandria
Functional: PBE-GGA
Structure: optimized geometry

Calculated values
total magnetization = 0.00 μB/atom

Cell: 6.4859 6.4859 6.4859 Å, 95.66 95.66 95.66°
Last column: nearest neighbours and their distance in Å.
Atoms (fractional coordinates):
Pm 0.1991 0.1991 0.1991  3 Sm 3.45, 6 Tm 3.59
Pm 0.8009 0.8009 0.8009  3 Sm 3.45, 6 Tm 3.59
Sm 0.2108 0.7892 0.5000  4 Tm 3.38-3.65, 2 Sm 3.43, 2 Pm 3.45
Sm 0.5000 0.2108 0.7892  4 Tm 3.38-3.65, 2 Sm 3.43, 2 Pm 3.45
Sm 0.7892 0.5000 0.2108  4 Tm 3.38-3.65, 2 Sm 3.43, 2 Pm 3.45
Tm 0.0000 0.3095 0.6905  2 Tm 3.38, 4 Sm 3.38-3.65, 4 Pm 3.59
Tm 0.3095 0.6905 0.0000  2 Tm 3.38, 4 Sm 3.38-3.65, 4 Pm 3.59
Tm 0.6905 0.0000 0.3095  2 Tm 3.38, 4 Sm 3.38-3.65, 4 Pm 3.59


Run ii
Compound: Pm2Sm3Tm3
Source: Alexandria
Functional: PBE-GGA
Structure: optimized geometry

Calculated values
total magnetization = 0.00 μB/atom

Cell: 10.7265 10.7265 10.7265 Å, 152.73 152.63 39.02°
Last column: nearest neighbours and their distance in Å.
Atoms (fractional coordinates):
Pm 0.2496 0.2496 0.0000  4 Pm 3.58, 4 Tm 3.58-3.60, 4 Sm 3.60-3.61
Pm 0.7504 0.7504 0.0000  4 Pm 3.58, 4 Tm 3.58-3.60, 4 Sm 3.60-3.61
Sm 0.0000 0.0000 0.0000  4 Sm 3.55, 8 Tm 3.56-3.58
Sm 0.3770 0.8770 0.5000  6 Tm 3.55-3.58, 2 Sm 3.55, 4 Pm 3.60-3.61
Sm 0.6230 0.1230 0.5000  6 Tm 3.55-3.58, 2 Sm 3.55, 4 Pm 3.60-3.61
Tm 0.1240 0.6240 0.5000  6 Sm 3.56-3.58, 2 Tm 3.57, 4 Pm 3.58-3.60
Tm 0.5000 0.5000 0.0000  8 Sm 3.55-3.58, 4 Tm 3.57
Tm 0.8760 0.3760 0.5000  6 Sm 3.56-3.58, 2 Tm 3.57, 4 Pm 3.58-3.60


Stability summary - winner: run ii; margin: 109 meV/atom.


Run i
Compound: Pm3Sm2Tm3
Source: Alexandria
Functional: PBE-GGA
Structure: optimized geometry

Calculated values
total magnetization = 0.00 μB/atom

Cell: 6.4891 6.4891 6.4891 Å, 95.68 95.68 95.68°
Last column: nearest neighbours and their distance in Å.
Atoms (fractional coordinates):
Pm 0.0000 0.7115 0.2885  4 Tm 3.38-3.65, 2 Pm 3.44, 2 Sm 3.46
Pm 0.2885 0.0000 0.7115  4 Tm 3.38-3.65, 2 Pm 3.44, 2 Sm 3.46
Pm 0.7115 0.2885 0.0000  4 Tm 3.38-3.65, 2 Pm 3.44, 2 Sm 3.46
Sm 0.3027 0.3027 0.3027  3 Pm 3.46, 6 Tm 3.58-3.60
Sm 0.6973 0.6973 0.6973  3 Pm 3.46, 6 Tm 3.58-3.60
Tm 0.1903 0.5000 0.8097  2 Tm 3.38, 4 Pm 3.38-3.65, 4 Sm 3.58-3.60
Tm 0.5000 0.8097 0.1903  2 Tm 3.38, 4 Pm 3.38-3.65, 4 Sm 3.58-3.60
Tm 0.8097 0.1903 0.5000  2 Tm 3.38, 4 Pm 3.38-3.65, 4 Sm 3.58-3.60


Run ii
Compound: Pm3Sm2Tm3
Source: Alexandria
Functional: PBE-GGA
Structure: optimized geometry

Calculated values
total magnetization = 0.00 μB/atom

Cell: 10.7480 10.7480 10.7480 Å, 152.81 152.67 38.94°
Last column: nearest neighbours and their distance in Å.
Atoms (fractional coordinates):
Pm 0.0000 0.0000 0.0000  4 Pm 3.56, 8 Tm 3.57-3.58
Pm 0.3767 0.8767 0.5000  6 Tm 3.55-3.58, 2 Pm 3.56, 4 Sm 3.60-3.61
Pm 0.6233 0.1233 0.5000  6 Tm 3.55-3.58, 2 Pm 3.56, 4 Sm 3.60-3.61
Sm 0.2495 0.2495 0.0000  4 Tm 3.58-3.60, 4 Sm 3.58, 4 Pm 3.60-3.61
Sm 0.7505 0.7505 0.0000  4 Tm 3.58-3.60, 4 Sm 3.58, 4 Pm 3.60-3.61
Tm 0.1246 0.6246 0.5000  6 Pm 3.57-3.58, 4 Sm 3.58-3.60, 2 Tm 3.58
Tm 0.5000 0.5000 0.0000  8 Pm 3.55-3.58, 4 Tm 3.58
Tm 0.8754 0.3754 0.5000  6 Pm 3.57-3.58, 4 Sm 3.58-3.60, 2 Tm 3.58


Stability summary - winner: run ii; margin: 107 meV/atom.